No. 1
The following is a GGA-PBE calculation of a relaxed La3Ga3Si crystal, from Alexandria.

Cell: 4.206 4.492 10.022 Å, 102.95 102.11 90.00°
Positions (direct):
1 Ga 0.139 0.639 0.278
2 Si 0.436 0.436 0.871
3 Ga 0.565 0.565 0.129
4 La 0.997 0.997 0.995
5 Ga 0.861 0.361 0.722
6 La 0.318 0.818 0.635
7 La 0.685 0.185 0.369

Properties
As for the symmetry: No. 44. As for the density of states at the Fermi level: 5.4 states/eV/cell. The formation energy (no corrections) comes out at -0.68 eV/atom. For the raw total energy, the calculation gives -4.87 eV/atom.



No. 2
The following is a GGA-PBE calculation of a relaxed La2GaSi3 crystal, from Alexandria.

Cell: 6.097 6.097 8.318 Å, 110.66 110.66 92.14°
Positions (direct):
1 Ga 0.666 0.666 0.332
2 La 0.755 0.245 0.000
3 Si 0.670 0.670 0.834
4 La 0.750 0.250 0.500
5 La 0.245 0.755 0.000
6 La 0.250 0.750 0.500
7 Si 0.836 0.836 0.672
8 Si 0.164 0.164 0.834
9 Si 0.164 0.164 0.328
10 Si 0.836 0.836 0.166
11 Ga 0.334 0.334 0.668
12 Si 0.330 0.330 0.166

Properties
As for the symmetry: No. 69. As for the density of states at the Fermi level: 7.3 states/eV/cell. The value obtained for the relative energy among the computed polymorphs is 5 meV/atom. The formation energy (no corrections) comes out at -0.67 eV/atom. For the raw total energy, the calculation gives -5.53 eV/atom.



No. 3
The following is a GGA-PBE calculation of a relaxed LaGaSi2 crystal, from Alexandria.

Cell: 4.099 5.024 5.024 Å, 119.36 90.00 90.00°
Positions (direct):
1 La 0.000 0.054 0.946
2 Si 0.500 0.054 0.446
3 Ga 0.500 0.554 0.446
4 Si 0.500 0.554 0.946

Properties
As for the symmetry: No. 65. As for the density of states at the Fermi level: 2.1 states/eV/cell. The formation energy (no corrections) comes out at -0.26 eV/atom. For the raw total energy, the calculation gives -4.96 eV/atom.



No. 4
The following is a GGA-PBE calculation of a relaxed LaGaSi crystal, from Alexandria.

Cell: 4.472 4.192 4.192 Å, 120.00 90.00 90.00°
Positions (direct):
1 Ga 0.121 0.000 0.000
2 Si 0.210 0.333 0.667
3 La 0.669 0.667 0.333

Properties
As for the symmetry: No. 156. As for the density of states at the Fermi level: 0.5 states/eV/cell. The formation energy (no corrections) comes out at -0.72 eV/atom. For the raw total energy, the calculation gives -5.18 eV/atom.



No. 5
The following is a GGA-PBE calculation of a relaxed La3Ga3Si2 crystal, from Alexandria.

Cell: 4.159 6.154 16.103 Å, 90.00 90.00 109.75°
Positions (direct):
1 La 0.153 0.306 0.590
2 Ga 0.719 0.437 0.750
3 Si 0.142 0.284 0.120
4 Si 0.858 0.716 0.880
5 La 0.552 0.104 0.250
6 Ga 0.566 0.133 0.442
7 Si 0.142 0.284 0.380
8 Ga 0.434 0.867 0.942
9 Ga 0.281 0.563 0.250
10 Si 0.858 0.716 0.620
11 La 0.448 0.896 0.750
12 Ga 0.566 0.133 0.058
13 La 0.153 0.306 0.910
14 Ga 0.434 0.867 0.558
15 La 0.847 0.694 0.410
16 La 0.847 0.694 0.090

Properties
As for the symmetry: No. 63. As for the density of states at the Fermi level: 8.7 states/eV/cell. The formation energy (no corrections) comes out at -0.69 eV/atom. For the raw total energy, the calculation gives -5.02 eV/atom.



No. 6
The following is a GGA-PBE calculation of a relaxed La3GaSi3 crystal, from Alexandria.

Cell: 4.059 4.536 9.789 Å, 103.40 101.97 90.00°
Each line ends with the local moment (μB).
Positions (direct):
1 Ga 0.435 0.435 0.870  0.00
2 La 0.314 0.814 0.629  0.12
3 Si 0.140 0.640 0.279  0.00
4 Si 0.859 0.359 0.718  -0.01
5 Si 0.566 0.566 0.133  0.00
6 La 0.003 0.003 0.006  0.00
7 La 0.683 0.183 0.366  0.13

Properties
As for the symmetry: No. 44. As for the density of states at the Fermi level: 4.8 states/eV/cell. The formation energy (no corrections) comes out at -0.73 eV/atom. For the raw total energy, the calculation gives -5.60 eV/atom.



No. 7
The following is a GGA-PBE calculation of a relaxed LaSmGaSi crystal, from Alexandria.

Cell: 5.205 5.205 5.205 Å, 60.00 60.00 60.00°
Positions (direct):
1 Sm 0.000 0.000 0.000
2 La 0.500 0.500 0.500
3 Si 0.750 0.750 0.750
4 Ga 0.250 0.250 0.250

Properties
As for the symmetry: No. 216. As for the density of states at the Fermi level: 2.3 states/eV/cell. The value obtained for the relative energy among the computed polymorphs is 199 meV/atom. The formation energy (no corrections) comes out at -0.50 eV/atom. For the raw total energy, the calculation gives -5.02 eV/atom.



No. 8
The following is a GGA-PBE calculation of a relaxed LaSmGaSi crystal, from Alexandria.

Cell: 4.466 4.067 6.073 Å, 90.00 111.57 90.00°
Each line ends with the local moment (μB).
Positions (direct):
1 La 0.856 0.500 0.712  0.04
2 Si 0.573 0.500 0.145  0.00
3 Sm 0.138 0.000 0.277  0.06
4 Ga 0.433 0.000 0.866  0.00

Properties
As for the symmetry: No. 38. As for the density of states at the Fermi level: 3.1 states/eV/cell. The value obtained for the relative energy among the computed polymorphs is 0 meV/atom. The formation energy (no corrections) comes out at -0.70 eV/atom. For the raw total energy, the calculation gives -5.22 eV/atom.



No. 9
The following is a GGA-PBE calculation of a relaxed La2Sm2Ga4Si crystal, from Alexandria.

Cell: 6.742 6.742 6.742 Å, 97.08 116.00 116.00°
Positions (direct):
1 Sm 0.000 0.691 0.691
2 Ga 0.513 0.756 0.756
3 La 0.500 0.750 0.250
4 Ga 0.487 0.244 0.244
5 Ga 0.000 0.756 0.244
6 La 0.500 0.250 0.750
7 Sm 0.000 0.309 0.309
8 Ga 0.000 0.244 0.756
9 Si 0.000 0.000 0.000

Properties
As for the symmetry: No. 139. As for the density of states at the Fermi level: 6.9 states/eV/cell. The formation energy (no corrections) comes out at -0.38 eV/atom. For the raw total energy, the calculation gives -4.47 eV/atom.



No. 10
The following is a GGA-PBE calculation of a relaxed LaGa2SiTc crystal, from Alexandria.

Cell: 4.797 4.797 4.640 Å, 90.00 90.00 90.00°
Positions (direct):
1 Si 0.000 0.000 0.500
2 Ga 0.000 0.500 0.000
3 Tc 0.000 0.000 0.000
4 La 0.500 0.500 0.500
5 Ga 0.500 0.000 0.000

Properties
As for the symmetry: No. 123. As for the density of states at the Fermi level: 1.1 states/eV/cell. The formation energy (no corrections) comes out at -0.38 eV/atom. For the raw total energy, the calculation gives -5.73 eV/atom.



No. 11
The following is a GGA-PBE calculation of a relaxed LaThGaSi crystal, from Alexandria.

Cell: 4.467 4.058 6.108 Å, 90.00 111.45 90.00°
Positions (direct):
1 La 0.144 0.000 0.289
2 Ga 0.570 0.500 0.140
3 Th 0.860 0.500 0.719
4 Si 0.426 0.000 0.852

Properties
As for the symmetry: No. 38. As for the density of states at the Fermi level: 4.1 states/eV/cell. The formation energy (no corrections) comes out at -0.63 eV/atom. For the raw total energy, the calculation gives -5.83 eV/atom.



No. 12
The following is a GGA-PBE calculation of a relaxed LaYGaSi crystal, from Alexandria.

Cell: 4.429 4.041 6.006 Å, 90.00 111.63 90.00°
Positions (direct):
1 La 0.144 0.000 0.288
2 Si 0.425 0.000 0.850
3 Ga 0.567 0.500 0.135
4 Y 0.863 0.500 0.727

Properties
As for the symmetry: No. 38. As for the density of states at the Fermi level: 2.9 states/eV/cell. The value obtained for the relative energy among the computed polymorphs is 0 meV/atom. The formation energy (no corrections) comes out at -0.71 eV/atom. For the raw total energy, the calculation gives -5.67 eV/atom.